# NdHoTmAg PBE-GGA relaxed
data_NdHoTmAg
_chemical_formula_sum 'Nd1 Ho1 Tm1 Ag1'
_cell_length_a 3.6230
_cell_length_b 3.6230
_cell_length_c 8.5895
_cell_angle_alpha 90.00
_cell_angle_beta 90.00
_cell_angle_gamma 90.00
_space_group_name_H-M_alt 'P 4 m m'
_space_group_IT_number 99
loop_
_space_group_symop_operation_xyz
'x,y,z'
'-y,x,z'
'-x,-y,z'
'y,-x,z'
'-x,y,z'
'y,x,z'
'x,-y,z'
'-y,-x,z'
loop_
_atom_site_label
_atom_site_fract_x
_atom_site_fract_y
_atom_site_fract_z
_atom_site_occupancy
Nd1 0.0000 0.0000 0.0000 1
Ho1 0.5000 0.5000 0.7057 1
Tm1 0.5000 0.5000 0.2922 1
Ag1 0.0000 0.0000 0.4944 1
# total energy: -4.3031 eV/atom
# energy above the lowest structure with this stoichiometry: 0.00 eV per formula unit
# spin magnetization: 0.0 μB/f.u.
# volume: 28.19 A^3/atom

---

# LiPrTlZn PBE-GGA relaxed
data_LiPrTlZn
_chemical_formula_sum 'Li4 Pr4 Tl4 Zn4'
_cell_length_a 7.2514
_cell_length_b 7.2514
_cell_length_c 7.2514
_cell_angle_alpha 90.00
_cell_angle_beta 90.00
_cell_angle_gamma 90.00
_space_group_name_H-M_alt 'F -4 3 m'
_space_group_IT_number 216
_space_group_name_Hall 'F -4 2 3'
loop_
_atom_site_label
_atom_site_fract_x
_atom_site_fract_y
_atom_site_fract_z
_atom_site_occupancy
Li1 0.0000 0.0000 0.0000 1
Pr1 0.0000 0.0000 0.5000 1
Tl1 0.2500 0.2500 0.2500 1
Zn1 0.2500 0.2500 0.7500 1
# total energy: -2.8720 eV/atom
# spin magnetization: 0.0 μB/f.u.
# volume: 23.83 A^3/atom

---

no.,density (g/cm3)
1,8.63
2,7.28